{
  "formula": "SmTm2UAs4",
  "functional": "GGA-PBE",
  "state": "optimized geometry",
  "e_form_ev_per_atom": -1.31,
  "density_g_cm3": 8.7,
  "magmom_total_mub_per_cell": 2.37,
  "lattice": [[7.103, 0.000, 0.000], [0.000, 4.092, 0.000], [-2.340, 0.000, 6.714]],
  "species": ["Sm", "Tm", "Tm", "U", "As", "As", "As", "As"],
  "frac_coords": [[0.000, 0.000, 0.000], [0.500, 0.000, 0.500], [0.500, 0.500, 0.000], [0.000, 0.500, 0.500], [0.254, 0.000, 0.747], [0.255, 0.500, 0.258], [0.745, 0.500, 0.742], [0.746, 0.000, 0.253]]
}